Entry from Alexandria: Ca2MnIrO6 after structural relaxation (PBE+U).

Total DFT energy (no corrections)   -6.7495 eV/atom
Density of states at the Fermi level   0.46 states/eV/atom
Calculated volume   121.98 Å³/cell

Cell lengths 3.8422, 5.6345, 5.6345 Å; angles 90.00, 90.00, 90.00 degrees
Element x y z (fractional)
Ca (0.0854, 0.0000, 0.5000)
Ca (0.0854, 0.5000, 0.0000)
O (0.1471, 0.0000, 0.0000)
O (0.6710, 0.7473, 0.2527)
O (0.6710, 0.2527, 0.2527)
O (0.6710, 0.2527, 0.7473)
O (0.6710, 0.7473, 0.7473)
O (0.1545, 0.5000, 0.5000)
Mn (0.6387, 0.0000, 0.0000)
Ir (0.6517, 0.5000, 0.5000)